First-principles (PBE) data for a relaxed Ce5Np crystal, as listed in Alexandria via LeMat-Bulk.

## Properties
* space group: Cmmm
* formation energy: 0.122 eV/atom

Cell lengths 7.388, 7.388, 4.653 Å; angles 90.00, 90.00, 143.54 degrees
Atoms (fractional coordinates):
1 Ce 0.000 0.000 0.000
2 Ce 0.165 0.835 0.500
3 Ce 0.336 0.664 0.000
4 Ce 0.664 0.336 0.000
5 Ce 0.835 0.165 0.500
6 Np 0.500 0.500 0.500

First-principles (PBE) data for a relaxed CeNp6O12 crystal, as listed in Alexandria via LeMat-Bulk.

## Properties
* space group: R-3
* ΔE_f (raw): -3037 meV per atom

Cell lengths 6.680, 6.680, 6.680 Å; angles 99.87, 99.87, 99.87 degrees
Atoms (fractional coordinates):
1 Ce 0.000 0.000 0.000
2 Np 0.138 0.597 0.297
3 Np 0.297 0.138 0.597
4 Np 0.403 0.703 0.862
5 Np 0.597 0.297 0.138
6 Np 0.703 0.862 0.403
7 Np 0.862 0.403 0.703
8 O 0.060 0.919 0.326
9 O 0.081 0.674 0.940
10 O 0.178 0.439 0.585
11 O 0.326 0.060 0.919
12 O 0.415 0.822 0.561
13 O 0.439 0.585 0.178
14 O 0.561 0.415 0.822
15 O 0.585 0.178 0.439
16 O 0.674 0.940 0.081
17 O 0.822 0.561 0.415
18 O 0.919 0.326 0.060
19 O 0.940 0.081 0.674

First-principles (PBE) data for a relaxed CeNpO5 crystal, as listed in Alexandria via LeMat-Bulk.

## Properties
* space group: Immm
* ΔE_f (raw): -2973 meV per atom

Cell lengths 5.730, 5.730, 5.730 Å; angles 137.67, 108.51, 86.75 degrees
Atoms (fractional coordinates):
1 Ce 0.000 0.000 0.000
2 Np 0.500 0.500 0.000
3 O 0.200 0.500 0.700
4 O 0.249 0.249 0.000
5 O 0.500 0.000 0.500
6 O 0.751 0.751 0.000
7 O 0.800 0.500 0.300

First-principles (PBE) data for a relaxed CeNpO2 crystal, as listed in Alexandria via LeMat-Bulk.

## Properties
* space group: P4/mmm
* ΔE_f (raw): -1872 meV per atom
* energy relative to the lowest polymorph listed for this composition: 0.6741 eV/atom

Cell lengths 4.351, 4.351, 3.057 Å; angles 90.00, 90.00, 90.00 degrees
Atoms (fractional coordinates):
1 Ce 0.000 0.000 0.000
2 Np 0.500 0.500 0.000
3 O 0.000 0.500 0.500
4 O 0.500 0.000 0.500

First-principles (PBE) data for a relaxed CeNpO2 crystal, as listed in Alexandria via LeMat-Bulk.

## Properties
* space group: R-3m
* ΔE_f (raw): -2546 meV per atom
* energy relative to the lowest polymorph listed for this composition: 0.0000 eV/atom

Cell lengths 6.035, 6.035, 6.035 Å; angles 33.56, 33.56, 33.56 degrees
Atoms (fractional coordinates):
1 Ce 0.000 0.000 0.000
2 Np 0.500 0.500 0.500
3 O 0.246 0.246 0.246
4 O 0.754 0.754 0.754

First-principles (PBE) data for a relaxed Ce4NpO10 crystal, as listed in Alexandria via LeMat-Bulk.

## Properties
* space group: I4/m
* ΔE_f (raw): -3393 meV per atom

Cell lengths 6.675, 6.675, 6.675 Å; angles 99.60, 99.60, 131.79 degrees
Atoms (fractional coordinates):
1 Ce 0.100 0.700 0.800
2 Ce 0.300 0.100 0.400
3 Ce 0.700 0.900 0.600
4 Ce 0.900 0.300 0.200
5 Np 0.500 0.500 0.000
6 O 0.060 0.354 0.904
7 O 0.156 0.060 0.706
8 O 0.250 0.750 0.500
9 O 0.354 0.450 0.294
10 O 0.450 0.156 0.096
11 O 0.550 0.844 0.904
12 O 0.646 0.550 0.706
13 O 0.750 0.250 0.500
14 O 0.844 0.940 0.294
15 O 0.940 0.646 0.096

First-principles (PBE) data for a relaxed Ce2Np2O7 crystal, as listed in Alexandria via LeMat-Bulk.

## Properties
* space group: Fd-3m
* ΔE_f (raw): -3211 meV per atom

Cell lengths 7.742, 7.742, 7.742 Å; angles 60.00, 60.00, 60.00 degrees
Atoms (fractional coordinates):
1 Ce 0.000 0.000 0.000
2 Ce 0.000 0.000 0.500
3 Ce 0.000 0.500 0.000
4 Ce 0.500 0.000 0.000
5 Np 0.000 0.500 0.500
6 Np 0.500 0.000 0.500
7 Np 0.500 0.500 0.000
8 Np 0.500 0.500 0.500
9 O 0.125 0.125 0.125
10 O 0.146 0.146 0.604
11 O 0.146 0.604 0.146
12 O 0.146 0.604 0.604
13 O 0.396 0.396 0.854
14 O 0.396 0.854 0.396
15 O 0.396 0.854 0.854
16 O 0.604 0.146 0.146
17 O 0.604 0.146 0.604
18 O 0.604 0.604 0.146
19 O 0.854 0.396 0.396
20 O 0.854 0.396 0.854
21 O 0.854 0.854 0.396
22 O 0.875 0.875 0.875

First-principles (PBE) data for a relaxed CeNp2O8 crystal, as listed in Alexandria via LeMat-Bulk.

## Properties
* space group: P-3
* ΔE_f (raw): -2581 meV per atom

Cell lengths 6.934, 6.934, 4.225 Å; angles 90.00, 90.00, 120.00 degrees
Atoms (fractional coordinates):
1 Ce 0.000 0.000 0.000
2 Np 0.333 0.667 0.247
3 Np 0.667 0.333 0.753
4 O 0.168 0.831 0.247
5 O 0.169 0.337 0.247
6 O 0.333 0.667 0.750
7 O 0.337 0.168 0.753
8 O 0.663 0.832 0.247
9 O 0.667 0.333 0.250
10 O 0.831 0.663 0.753
11 O 0.832 0.169 0.753

First-principles (PBE) data for a relaxed Ce6NpO12 crystal, as listed in Alexandria via LeMat-Bulk.

## Properties
* space group: R-3
* ΔE_f (raw): -3407 meV per atom

Cell lengths 6.768, 6.768, 6.768 Å; angles 99.28, 99.28, 99.28 degrees
Atoms (fractional coordinates):
1 Ce 0.102 0.800 0.639
2 Ce 0.200 0.361 0.898
3 Ce 0.361 0.898 0.200
4 Ce 0.639 0.102 0.800
5 Ce 0.800 0.639 0.102
6 Ce 0.898 0.200 0.361
7 Np 0.500 0.500 0.500
8 O 0.066 0.915 0.323
9 O 0.085 0.677 0.934
10 O 0.185 0.431 0.564
11 O 0.323 0.066 0.915
12 O 0.431 0.564 0.185
13 O 0.436 0.815 0.569
14 O 0.564 0.185 0.431
15 O 0.569 0.436 0.815
16 O 0.677 0.934 0.085
17 O 0.815 0.569 0.436
18 O 0.915 0.323 0.066
19 O 0.934 0.085 0.677

First-principles (PBE) data for a relaxed CeNpP2O8 crystal, as listed in Alexandria via LeMat-Bulk.

## Properties
* space group: P-3m1
* ΔE_f (raw): -2651 meV per atom

Cell lengths 5.348, 5.348, 7.337 Å; angles 90.00, 90.00, 120.00 degrees
Atoms (fractional coordinates):
1 Ce 0.000 0.000 0.000
2 Np 0.000 0.000 0.500
3 P 0.333 0.667 0.801
4 P 0.667 0.333 0.199
5 O 0.175 0.351 0.727
6 O 0.175 0.825 0.727
7 O 0.333 0.667 0.009
8 O 0.351 0.175 0.273
9 O 0.649 0.825 0.727
10 O 0.667 0.333 0.991
11 O 0.825 0.175 0.273
12 O 0.825 0.649 0.273

First-principles (PBE) data for a relaxed CeNpPbO6 crystal, as listed in Alexandria via LeMat-Bulk.

## Properties
* space group: P-31c
* ΔE_f (raw): -2591 meV per atom

Cell lengths 5.971, 5.971, 9.975 Å; angles 90.00, 90.00, 120.00 degrees
Atoms (fractional coordinates):
1 Ce 0.333 0.667 0.250
2 Ce 0.667 0.333 0.750
3 Np 0.333 0.667 0.750
4 Np 0.667 0.333 0.250
5 Pb 0.000 0.000 0.000
6 Pb 0.000 0.000 0.500
7 O 0.024 0.379 0.644
8 O 0.024 0.645 0.856
9 O 0.355 0.379 0.856
10 O 0.355 0.976 0.644
11 O 0.379 0.024 0.144
12 O 0.379 0.355 0.356
13 O 0.621 0.645 0.644
14 O 0.621 0.976 0.856
15 O 0.645 0.024 0.356
16 O 0.645 0.621 0.144
17 O 0.976 0.355 0.144
18 O 0.976 0.621 0.356

First-principles (PBE) data for a relaxed CePmNpO6 crystal, as listed in Alexandria via LeMat-Bulk.

## Properties
* space group: P-31c
* ΔE_f (raw): -3138 meV per atom

Cell lengths 5.894, 5.894, 9.456 Å; angles 90.00, 90.00, 120.00 degrees
Atoms (fractional coordinates):
1 Ce 0.000 0.000 0.000
2 Ce 0.000 0.000 0.500
3 Pm 0.333 0.667 0.250
4 Pm 0.667 0.333 0.750
5 Np 0.333 0.667 0.750
6 Np 0.667 0.333 0.250
7 O 0.032 0.358 0.632
8 O 0.032 0.674 0.868
9 O 0.326 0.358 0.868
10 O 0.326 0.968 0.632
11 O 0.358 0.032 0.132
12 O 0.358 0.326 0.368
13 O 0.642 0.674 0.632
14 O 0.642 0.968 0.868
15 O 0.674 0.032 0.368
16 O 0.674 0.642 0.132
17 O 0.968 0.326 0.132
18 O 0.968 0.642 0.368

Copy entry 6 word for word.
First-principles (PBE) data for a relaxed Ce4NpO10 crystal, as listed in Alexandria via LeMat-Bulk.

## Properties
* space group: I4/m
* ΔE_f (raw): -3393 meV per atom

Cell lengths 6.675, 6.675, 6.675 Å; angles 99.60, 99.60, 131.79 degrees
Atoms (fractional coordinates):
1 Ce 0.100 0.700 0.800
2 Ce 0.300 0.100 0.400
3 Ce 0.700 0.900 0.600
4 Ce 0.900 0.300 0.200
5 Np 0.500 0.500 0.000
6 O 0.060 0.354 0.904
7 O 0.156 0.060 0.706
8 O 0.250 0.750 0.500
9 O 0.354 0.450 0.294
10 O 0.450 0.156 0.096
11 O 0.550 0.844 0.904
12 O 0.646 0.550 0.706
13 O 0.750 0.250 0.500
14 O 0.844 0.940 0.294
15 O 0.940 0.646 0.096

> What is the formula in the twelfth record?

CePmNpO6